VASP calculation (PBE) on an optimized crystal structure of ZrTa2Ni.

Geometry as POSCAR:
```
ZrTa2Ni
1.0
4.457 0.000 0.000
0.000 2.920 0.006
0.000 1.064 5.408
Ni Ta Zr
1 2 1
direct
0.500 0.767 0.759
0.000 0.983 0.001
0.500 0.241 0.231
0.000 0.508 0.508
```

Values from the calculation:
symmetry = Pm (6)
ΔE to the lowest computed polymorph = 187 meV/atom
density of states at the Fermi level = 5.3 states/eV/cell
ΔH_f (0 K) = 0.118 eV per atom
total magnetization = 0.0 μB per cell

VASP calculation (PBE) on an optimized crystal structure of Tb5TmHg2.

Geometry as POSCAR:
```
Tb5TmHg2
1.0
-1.504 3.309 -0.320
-6.518 -0.465 5.022
2.735 3.904 6.723
Tb Tm Hg
5 1 2
direct
0.000 0.500 0.500
0.637 0.587 0.140
0.363 0.413 0.860
0.363 0.860 0.413
0.637 0.140 0.587
0.000 0.000 0.000
0.731 0.769 0.769
0.269 0.231 0.231
```

Values from the calculation:
symmetry = Immm (71)
density of states at the Fermi level = 7.3 states/eV/cell
ΔH_f (0 K) = -0.146 eV per atom
total magnetization = 0.0 μB per cell

Question: What is the density of states at the Fermi level in the first record?
Answer: 5.3 states/eV/cell

Question: What is the total magnetization in the second record?
Answer: 0.0 μB per cell